Computed, not measured: an optimized crystal structure of PbN at the PBE level of DFT.

**E_form (uncorrected)**: 0.9648 eV per atom
**Magnetic moment**: 0.000 μB per atom
**Energy relative to the lowest polymorph listed for this composition**: 0.172 eV per atom
**Calculated density**: 7.2 Mg/m³
**Uncorrected energy**: -5.052 eV/atom
**Fermi-level density of states**: 10.063 states/eV/cell

a = 6.7339 Å, b = 6.7339 Å, c = 6.7339 Å
α = 90.00°, β = 90.00°, γ = 90.00°
Positions (direct):
Pb 0.0000 0.2500 0.5000
Pb 0.0000 0.7500 0.5000
Pb 0.2500 0.5000 0.0000
Pb 0.5000 0.0000 0.2500
Pb 0.5000 0.0000 0.7500
Pb 0.7500 0.5000 0.0000
N 0.0000 0.5000 0.2500
N 0.0000 0.5000 0.7500
N 0.2500 0.0000 0.5000
N 0.5000 0.2500 0.0000
N 0.5000 0.7500 0.0000
N 0.7500 0.0000 0.5000